Below is a geometry-optimized CaVPbO4 structure, with properties calculated at the GGA+U level.

The total energy is -93.55 eV per cell. The calculation puts the total magnetic moment at 0.000 μB per atom. The space group is P2_1/m (11).

a b c (Å): 5.9937 5.8321 8.0173
angles (deg): 90.00 115.70 90.00
Fractional positions:
Ca1 0.7560 0.7500 0.4544
Ca2 0.2440 0.2500 0.5456
V1 0.1878 0.7500 0.3322
V2 0.8122 0.2500 0.6678
Pb1 0.3875 0.7500 0.9123
Pb2 0.6125 0.2500 0.0877
O1 0.0017 0.4879 0.6850
O2 0.9983 0.9879 0.3150
O3 0.9983 0.5121 0.3150
O4 0.0017 0.0121 0.6850
O5 0.3442 0.7500 0.1913
O6 0.6558 0.2500 0.8087
O7 0.4265 0.7500 0.5541
O8 0.5735 0.2500 0.4459